1.
DFT (PBE-GGA) results for a relaxed structure of HoEr2Zn3Ir2Pt.

abc: 3.8914 7.1309 7.1309
angles: 120.07 90.00 90.00
Element x y z (fractional)
Er 0.0000 0.5909 0.0000
Er 0.0000 0.0000 0.5909
Ho 0.0000 0.4097 0.4097
Ir 0.5000 0.6676 0.3329
Ir 0.5000 0.3329 0.6676
Pt 0.0000 0.9992 0.9992
Zn 0.5000 0.9997 0.2525
Zn 0.5000 0.7475 0.7475
Zn 0.5000 0.2525 0.9997

Values from the calculation:
The formation energy is -702 kJ/mol of formula units.

***

2.
DFT (PBE-GGA) results for a relaxed structure of Pm2Se.

abc: 9.0637 9.0637 9.0637
angles: 60.00 60.00 60.00
Element x y z (fractional)
Pm 0.3750 0.3750 0.3750
Pm 0.8750 0.3750 0.3750
Pm 0.3750 0.8750 0.3750
Pm 0.3750 0.3750 0.8750
Se 0.2500 0.2500 0.2500
Se 0.5000 0.5000 0.5000

***

3.
DFT (PBE-GGA) results for a relaxed structure of GdDySe2.

abc: 4.0852 4.0852 5.7824
angles: 90.00 90.00 90.00
Element x y z (fractional)
Dy 0.0000 0.0000 0.0000
Gd 0.5000 0.5000 0.5000
Se 0.5000 0.5000 0.0000
Se 0.0000 0.0000 0.5000

***

4.
DFT (PBE-GGA) results for a relaxed structure of PmInPt4.

abc: 5.4367 5.4367 5.4367
angles: 60.00 60.00 60.00
Element x y z (fractional)
In 0.0000 0.0000 0.0000
Pm 0.7500 0.7500 0.7500
Pt 0.8766 0.3745 0.3745
Pt 0.3745 0.8766 0.3745
Pt 0.3745 0.3745 0.3745
Pt 0.3745 0.3745 0.8766

***

Number 1: energy -48.54 eV per cell. Number 2: energy -23.15 eV per cell. Number 3: energy -23.30 eV per cell. Number 4: energy -36.54 eV per cell.